A plane-wave DFT calculation with PBE was carried out for a relaxed structure of KTc2N2.

## Properties
The magnetization is 0.1237 μB per atom. The density of states at the Fermi level is 2.60 states/eV/f.u. The uncorrected formation energy is 0.57 eV/atom. Its calculated volume is 65.2 Å³/cell. For the total energy, the calculation gives -35.61 eV/cell.

Cell lengths 4.886, 4.886, 4.886 Å; angles 130.90, 130.90, 71.98 degrees
Atoms (fractional coordinates):
K  0.000  0.000  0.000
Tc  0.356  0.356  0.000
Tc  0.644  0.644  0.000
N  0.250  0.750  0.500
N  0.750  0.250  0.500